(1)
First-principles (PBE-GGA) data for a geometry-optimized TlFeGe2 structure, as listed in the Alexandria database.

a = 4.8173 Å, b = 4.8173 Å, c = 4.8173 Å
α = 60.00°, β = 60.00°, γ = 60.00°
Last column: magnetic moment on the atom in μB.
Sites, in units of the cell vectors:
Ge (0.2500, 0.2500, 0.2500)  -0.04
Fe (0.0000, 0.0000, 0.0000)  2.81
Ge (0.7500, 0.7500, 0.7500)  -0.04
Tl (0.5000, 0.5000, 0.5000)  0.00

The calculation puts the total magnetic moment at 2.73 μB/f.u. The formation energy comes out at 60.2 kJ per mole of atoms. The total energy comes out at -17.6 eV for the cell shown.

=====

(2)
First-principles (PBE-GGA) data for a geometry-optimized Li5MgHg4 structure, as listed in the Alexandria database.

a = 3.4000 Å, b = 3.4000 Å, c = 16.2088 Å
α = 90.00°, β = 90.00°, γ = 90.00°
Sites, in units of the cell vectors:
Hg (0.0000, 0.0000, 0.1979)
Hg (0.0000, 0.0000, 0.3988)
Li (0.5000, 0.5000, 0.2997)
Hg (0.0000, 0.0000, 0.8021)
Li (0.5000, 0.5000, 0.1094)
Li (0.5000, 0.5000, 0.8906)
Li (0.5000, 0.5000, 0.5000)
Mg (0.0000, 0.0000, 0.0000)
Hg (0.0000, 0.0000, 0.6012)
Li (0.5000, 0.5000, 0.7003)

The calculation puts the total magnetic moment at 0.00 μB/f.u. The formation energy comes out at -30.6 kJ per mole of atoms. The total energy comes out at -15.5 eV for the cell shown.

=====

(3)
First-principles (PBE-GGA) data for a geometry-optimized Ac2Mg3Ga structure, as listed in the Alexandria database.

a = 3.8273 Å, b = 5.2015 Å, c = 9.0205 Å
α = 90.00°, β = 90.00°, γ = 90.00°
Sites, in units of the cell vectors:
Mg (0.5000, 0.0000, 0.8304)
Ac (0.0000, 0.0000, 0.4848)
Ga (0.5000, 0.5000, 0.3378)
Ac (0.0000, 0.5000, 0.0171)
Mg (0.5000, 0.5000, 0.6620)
Mg (0.5000, 0.0000, 0.1679)

The calculation puts the total magnetic moment at 0.00 μB/f.u. The formation energy comes out at -16.7 kJ per mole of atoms. The total energy comes out at -17.1 eV for the cell shown.

=====

For the records above, the corresponding N(E_F) values read 3.9; 3.3; 6.1 states/eV/cell.